# BaCr2Sb

BaCr2Sb after structural relaxation (PBE, the Alexandria database).

## Properties
mass density = 5.33 g cm⁻³
energy relative to the elements, uncorrected = 564 meV/atom
total magnetic moment = 0.9 μB/cell

a = 3.938 Å, b = 4.982 Å, c = 5.770 Å
α = 90.00°, β = 93.29°, γ = 90.00°
Atoms (fractional coordinates):
Ba (0.000, 0.000, 0.000)
Cr (0.334, 0.500, 0.606)
Cr (0.666, 0.500, 0.394)
Sb (0.500, 0.000, 0.500)



# BaCr2Sb

BaCr2Sb after structural relaxation (PBE, the Alexandria database).

## Properties
mass density = 5.60 g cm⁻³
energy relative to the elements, uncorrected = 564 meV/atom
total magnetic moment = 8.8 μB/cell

a = 4.863 Å, b = 4.863 Å, c = 4.556 Å
α = 90.00°, β = 90.00°, γ = 90.00°
Atoms (fractional coordinates):
Ba (0.000, 0.000, 0.000)
Cr (0.000, 0.500, 0.500)
Cr (0.500, 0.000, 0.500)
Sb (0.500, 0.500, 0.000)



# BaSc2CrSb

BaSc2CrSb after structural relaxation (PBE, the Alexandria database).

## Properties
mass density = 5.01 g cm⁻³
energy relative to the elements, uncorrected = 1517 meV/atom
total magnetic moment = 0.0 μB/cell

a = 5.330 Å, b = 5.330 Å, c = 4.677 Å
α = 90.00°, β = 90.00°, γ = 90.00°
Atoms (fractional coordinates):
Ba (0.000, 0.000, 0.000)
Sc (0.000, 0.500, 0.000)
Sc (0.500, 0.000, 0.000)
Cr (0.000, 0.000, 0.500)
Sb (0.500, 0.500, 0.500)



# Ba2CrSbSe

Ba2CrSbSe after structural relaxation (PBE, the Alexandria database).

## Properties
mass density = 4.58 g cm⁻³
energy relative to the elements, uncorrected = -632 meV/atom
total magnetic moment = 5.0 μB/cell

a = 6.258 Å, b = 6.258 Å, c = 4.886 Å
α = 90.00°, β = 90.00°, γ = 90.00°
Atoms (fractional coordinates):
Ba (0.000, 0.500, 0.000)
Ba (0.500, 0.000, 0.000)
Cr (0.000, 0.000, 0.500)
Sb (0.500, 0.500, 0.500)
Se (0.000, 0.000, 0.000)



# Ba2SrCrSb

Ba2SrCrSb after structural relaxation (PBE, the Alexandria database).

## Properties
mass density = 3.37 g cm⁻³
energy relative to the elements, uncorrected = 824 meV/atom
total magnetic moment = 3.5 μB/cell

a = 6.704 Å, b = 6.704 Å, c = 5.878 Å
α = 90.00°, β = 90.00°, γ = 90.00°
Atoms (fractional coordinates):
Ba (0.000, 0.500, 0.000)
Ba (0.500, 0.000, 0.000)
Sr (0.000, 0.000, 0.000)
Cr (0.500, 0.500, 0.500)
Sb (0.000, 0.000, 0.500)



# BaCrSbTe2

BaCrSbTe2 after structural relaxation (PBE, the Alexandria database).

## Properties
energy relative to the lowest polymorph listed for this composition = 1.371 eV per atom
mass density = 3.54 g cm⁻³
energy relative to the elements, uncorrected = 909 meV/atom
total magnetic moment = 2.9 μB/cell

a = 6.452 Å, b = 6.452 Å, c = 6.388 Å
α = 90.00°, β = 90.00°, γ = 90.00°
Atoms (fractional coordinates):
Ba (0.000, 0.000, 0.000)
Cr (0.500, 0.500, 0.500)
Sb (0.000, 0.000, 0.500)
Te (0.000, 0.500, 0.000)
Te (0.500, 0.000, 0.000)